Entry from the Alexandria database: a relaxed Zr4BeRu3 crystal (PBE-GGA).

Geometry as CIF:
```
data_Zr4BeRu3
_cell_length_a 3.2692
_cell_length_b 3.2692
_cell_length_c 12.9016
_cell_angle_alpha 90.00
_cell_angle_beta 90.00
_cell_angle_gamma 90.00
_space_group_name_H-M_alt 'P 1'
_space_group_IT_number 1
_space_group_name_Hall 'P 1'
loop_
_atom_site_label
_atom_site_fract_x
_atom_site_fract_y
_atom_site_fract_z
Ru1 0.5000 0.5000 0.7550
Zr1 0.0000 0.0000 0.3726
Zr2 0.0000 0.0000 0.8809
Zr3 0.0000 0.0000 0.6274
Zr4 0.0000 0.0000 0.1191
Ru2 0.5000 0.5000 0.2450
Ru3 0.5000 0.5000 0.5000
Be1 0.5000 0.5000 0.0000
```

Summary:
M_tot   0.0000 μB/atom
ΔE_f   -0.51 eV per atom
Crystal system   tetragonal